This record from Alexandria describes an optimized crystal structure of ZrGeCl2. The functional is PBE.

```
data_ZrGeCl2
_chemical_formula_sum 'Zr2 Ge2 Cl4'
_symmetry_space_group_name_H-M 'P 1'
_symmetry_Int_Tables_number 1
_cell_length_a 7.404
_cell_length_b 7.404
_cell_length_c 7.404
_cell_angle_alpha 128.06
_cell_angle_beta 128.06
_cell_angle_gamma 76.53
loop_
_symmetry_equiv_pos_as_xyz
'x,y,z'
loop_
_atom_site_label
_atom_site_type_symbol
_atom_site_fract_x
_atom_site_fract_y
_atom_site_fract_z
Zr1 Zr 0.000 0.000 0.000
Zr2 Zr 0.750 0.250 0.500
Ge1 Ge 0.250 0.750 0.500
Ge2 Ge 0.500 0.500 0.000
Cl1 Cl 0.055 0.625 0.930
Cl2 Cl 0.375 0.305 0.430
Cl3 Cl 0.695 0.125 0.070
Cl4 Cl 0.875 0.945 0.570
```

The total magnetization comes out at 0.99 μB per formula unit. The total energy is -4.179 eV per atom. As for the mass density: 3.19 Mg/m³. Its symmetry is I-42d (122).


This record from Alexandria describes an optimized crystal structure of Zr2GeCl. The functional is PBE.

```
data_Zr2GeCl
_chemical_formula_sum 'Zr2 Ge1 Cl1'
_symmetry_space_group_name_H-M 'P 1'
_symmetry_Int_Tables_number 1
_cell_length_a 4.749
_cell_length_b 4.749
_cell_length_c 4.749
_cell_angle_alpha 60.00
_cell_angle_beta 60.00
_cell_angle_gamma 60.00
loop_
_symmetry_equiv_pos_as_xyz
'x,y,z'
loop_
_atom_site_label
_atom_site_type_symbol
_atom_site_fract_x
_atom_site_fract_y
_atom_site_fract_z
Zr1 Zr 0.250 0.250 0.250
Zr2 Zr 0.750 0.750 0.750
Ge1 Ge 0.000 0.000 0.000
Cl1 Cl 0.500 0.500 0.500
```

The total magnetization comes out at 0.00 μB per formula unit. The total energy is -6.496 eV per atom. As for the mass density: 6.37 Mg/m³. Its symmetry is Fm-3m (225).


This record from Alexandria describes an optimized crystal structure of Zr2GeCl. The functional is PBE.

```
data_Zr2GeCl
_chemical_formula_sum 'Zr4 Ge2 Cl2'
_symmetry_space_group_name_H-M 'P 1'
_symmetry_Int_Tables_number 1
_cell_length_a 7.741
_cell_length_b 7.741
_cell_length_c 7.741
_cell_angle_alpha 138.01
_cell_angle_beta 138.01
_cell_angle_gamma 60.89
loop_
_symmetry_equiv_pos_as_xyz
'x,y,z'
loop_
_atom_site_label
_atom_site_type_symbol
_atom_site_fract_x
_atom_site_fract_y
_atom_site_fract_z
Zr1 Zr 0.114 0.625 0.989
Zr2 Zr 0.375 0.364 0.489
Zr3 Zr 0.636 0.125 0.011
Zr4 Zr 0.875 0.886 0.511
Ge1 Ge 0.250 0.750 0.500
Ge2 Ge 0.500 0.500 0.000
Cl1 Cl 0.000 0.000 0.000
Cl2 Cl 0.750 0.250 0.500
```

The total magnetization comes out at 0.00 μB per formula unit. The total energy is -5.962 eV per atom. As for the mass density: 4.70 Mg/m³. Its symmetry is I-42d (122).


This record from Alexandria describes an optimized crystal structure of HCl3. The functional is PBE.

```
data_HCl3
_chemical_formula_sum 'H1 Cl3'
_symmetry_space_group_name_H-M 'P 1'
_symmetry_Int_Tables_number 1
_cell_length_a 7.231
_cell_length_b 7.231
_cell_length_c 7.231
_cell_angle_alpha 28.38
_cell_angle_beta 28.38
_cell_angle_gamma 28.38
loop_
_symmetry_equiv_pos_as_xyz
'x,y,z'
loop_
_atom_site_label
_atom_site_type_symbol
_atom_site_fract_x
_atom_site_fract_y
_atom_site_fract_z
H1 H 0.000 0.000 0.000
Cl1 Cl 0.390 0.390 0.390
Cl2 Cl 0.500 0.500 0.500
Cl3 Cl 0.610 0.610 0.610
```

The total magnetization comes out at 0.00 μB per formula unit. The total energy is -1.770 eV per atom. As for the mass density: 2.36 Mg/m³. Its symmetry is R-3m (166).


This record from Alexandria describes an optimized crystal structure of HCl2. The functional is PBE.

```
data_HCl2
_chemical_formula_sum 'H2 Cl4'
_symmetry_space_group_name_H-M 'P 1'
_symmetry_Int_Tables_number 1
_cell_length_a 4.206
_cell_length_b 4.206
_cell_length_c 8.422
_cell_angle_alpha 107.51
_cell_angle_beta 107.51
_cell_angle_gamma 77.94
loop_
_symmetry_equiv_pos_as_xyz
'x,y,z'
loop_
_atom_site_label
_atom_site_type_symbol
_atom_site_fract_x
_atom_site_fract_y
_atom_site_fract_z
H1 H 0.132 0.868 0.750
H2 H 0.868 0.132 0.250
Cl1 Cl 0.108 0.372 0.250
Cl2 Cl 0.372 0.108 0.750
Cl3 Cl 0.628 0.892 0.250
Cl4 Cl 0.892 0.628 0.750
```

The total magnetization comes out at 0.00 μB per formula unit. The total energy is -2.502 eV per atom. As for the mass density: 1.78 Mg/m³. Its symmetry is C2/c (15).


This record from Alexandria describes an optimized crystal structure of HCl3. The functional is PBE.

```
data_HCl3
_chemical_formula_sum 'H2 Cl6'
_symmetry_space_group_name_H-M 'P 1'
_symmetry_Int_Tables_number 1
_cell_length_a 6.117
_cell_length_b 6.117
_cell_length_c 6.117
_cell_angle_alpha 122.45
_cell_angle_beta 122.45
_cell_angle_gamma 85.81
loop_
_symmetry_equiv_pos_as_xyz
'x,y,z'
loop_
_atom_site_label
_atom_site_type_symbol
_atom_site_fract_x
_atom_site_fract_y
_atom_site_fract_z
H1 H 0.000 0.000 0.000
H2 H 0.750 0.250 0.500
Cl1 Cl 0.250 0.750 0.500
Cl2 Cl 0.375 0.242 0.367
Cl3 Cl 0.500 0.500 0.000
Cl4 Cl 0.758 0.125 0.133
Cl5 Cl 0.875 0.008 0.633
Cl6 Cl 0.992 0.625 0.867
```

The total magnetization comes out at 2.00 μB per formula unit. The total energy is -1.686 eV per atom. As for the mass density: 2.29 Mg/m³. Its symmetry is I-42d (122).


This record from Alexandria describes an optimized crystal structure of H3Cl2. The functional is PBE.

```
data_H3Cl2
_chemical_formula_sum 'H3 Cl2'
_symmetry_space_group_name_H-M 'P 1'
_symmetry_Int_Tables_number 1
_cell_length_a 4.359
_cell_length_b 4.359
_cell_length_c 5.506
_cell_angle_alpha 97.02
_cell_angle_beta 97.02
_cell_angle_gamma 99.98
loop_
_symmetry_equiv_pos_as_xyz
'x,y,z'
loop_
_atom_site_label
_atom_site_type_symbol
_atom_site_fract_x
_atom_site_fract_y
_atom_site_fract_z
H1 H 0.000 0.000 0.000
H2 H 0.047 0.047 0.442
H3 H 0.953 0.953 0.558
Cl1 Cl 0.227 0.227 0.215
Cl2 Cl 0.773 0.773 0.785
```

The total magnetization comes out at 1.00 μB per formula unit. The total energy is -2.771 eV per atom. As for the mass density: 1.21 Mg/m³. Its symmetry is C2/m (12).


This record from Alexandria describes an optimized crystal structure of HCl3. The functional is PBE.

```
data_HCl3
_chemical_formula_sum 'H2 Cl6'
_symmetry_space_group_name_H-M 'P 1'
_symmetry_Int_Tables_number 1
_cell_length_a 4.891
_cell_length_b 4.511
_cell_length_c 11.700
_cell_angle_alpha 90.00
_cell_angle_beta 94.22
_cell_angle_gamma 90.00
loop_
_symmetry_equiv_pos_as_xyz
'x,y,z'
loop_
_atom_site_label
_atom_site_type_symbol
_atom_site_fract_x
_atom_site_fract_y
_atom_site_fract_z
H1 H 0.033 0.250 0.117
H2 H 0.967 0.750 0.883
Cl1 Cl 0.184 0.250 0.687
Cl2 Cl 0.206 0.750 0.379
Cl3 Cl 0.280 0.250 0.085
Cl4 Cl 0.720 0.750 0.915
Cl5 Cl 0.794 0.250 0.621
Cl6 Cl 0.816 0.750 0.313
```

The total magnetization comes out at 0.00 μB per formula unit. The total energy is -2.451 eV per atom. As for the mass density: 1.39 Mg/m³. Its symmetry is P2_1/m (11).


This record from Alexandria describes an optimized crystal structure of H2Cl. The functional is PBE.

```
data_H2Cl
_chemical_formula_sum 'H4 Cl2'
_symmetry_space_group_name_H-M 'P 1'
_symmetry_Int_Tables_number 1
_cell_length_a 3.807
_cell_length_b 5.913
_cell_length_c 6.638
_cell_angle_alpha 64.81
_cell_angle_beta 76.11
_cell_angle_gamma 77.62
loop_
_symmetry_equiv_pos_as_xyz
'x,y,z'
loop_
_atom_site_label
_atom_site_type_symbol
_atom_site_fract_x
_atom_site_fract_y
_atom_site_fract_z
H1 H 0.023 0.443 0.051
H2 H 0.411 0.245 0.760
H3 H 0.589 0.755 0.240
H4 H 0.977 0.557 0.949
Cl1 Cl 0.264 0.836 0.316
Cl2 Cl 0.736 0.164 0.684
```

The total magnetization comes out at 0.00 μB per formula unit. The total energy is -3.192 eV per atom. As for the mass density: 0.96 Mg/m³. Its symmetry is P-1 (2).


This record from Alexandria describes an optimized crystal structure of H4Cl. The functional is PBE.

```
data_H4Cl
_chemical_formula_sum 'H4 Cl1'
_symmetry_space_group_name_H-M 'P 1'
_symmetry_Int_Tables_number 1
_cell_length_a 3.313
_cell_length_b 3.313
_cell_length_c 3.313
_cell_angle_alpha 90.00
_cell_angle_beta 90.00
_cell_angle_gamma 90.00
loop_
_symmetry_equiv_pos_as_xyz
'x,y,z'
loop_
_atom_site_label
_atom_site_type_symbol
_atom_site_fract_x
_atom_site_fract_y
_atom_site_fract_z
H1 H 0.000 0.000 0.000
H2 H 0.000 0.500 0.500
H3 H 0.500 0.000 0.500
H4 H 0.500 0.500 0.000
Cl1 Cl 0.500 0.500 0.500
```

The total magnetization comes out at 0.00 μB per formula unit. The total energy is -1.909 eV per atom. As for the mass density: 1.80 Mg/m³. Its symmetry is Pm-3m (221).


This record from Alexandria describes an optimized crystal structure of HCl3. The functional is PBE.

```
data_HCl3
_chemical_formula_sum 'H1 Cl3'
_symmetry_space_group_name_H-M 'P 1'
_symmetry_Int_Tables_number 1
_cell_length_a 4.871
_cell_length_b 4.871
_cell_length_c 4.871
_cell_angle_alpha 60.00
_cell_angle_beta 60.00
_cell_angle_gamma 60.00
loop_
_symmetry_equiv_pos_as_xyz
'x,y,z'
loop_
_atom_site_label
_atom_site_type_symbol
_atom_site_fract_x
_atom_site_fract_y
_atom_site_fract_z
H1 H 0.000 0.000 0.000
Cl1 Cl 0.250 0.250 0.250
Cl2 Cl 0.500 0.500 0.500
Cl3 Cl 0.750 0.750 0.750
```

The total magnetization comes out at 2.92 μB per formula unit. The total energy is -1.028 eV per atom. As for the mass density: 2.18 Mg/m³. Its symmetry is Fm-3m (225).


This record from Alexandria describes an optimized crystal structure of HCl2. The functional is PBE.

```
data_HCl2
_chemical_formula_sum 'H2 Cl4'
_symmetry_space_group_name_H-M 'P 1'
_symmetry_Int_Tables_number 1
_cell_length_a 4.304
_cell_length_b 4.304
_cell_length_c 11.186
_cell_angle_alpha 102.94
_cell_angle_beta 102.94
_cell_angle_gamma 58.40
loop_
_symmetry_equiv_pos_as_xyz
'x,y,z'
loop_
_atom_site_label
_atom_site_type_symbol
_atom_site_fract_x
_atom_site_fract_y
_atom_site_fract_z
H1 H 0.000 0.000 0.000
H2 H 0.105 0.105 0.565
Cl1 Cl 0.110 0.110 0.928
Cl2 Cl 0.274 0.274 0.628
Cl3 Cl 0.399 0.399 0.172
Cl4 Cl 0.580 0.580 0.340
```

The total magnetization comes out at 0.00 μB per formula unit. The total energy is -2.670 eV per atom. As for the mass density: 1.40 Mg/m³. Its symmetry is Cm (8).